# 1
First-principles (PBE) data for DyBiB after structural relaxation, as listed in OQMD. Values from VASP.

The structure in Quantum ESPRESSO input format:
```
&SYSTEM
  ibrav = 0, nat = 3, ntyp = 3
/
ATOMIC_SPECIES
Dy 162.50 Dy.upf
Bi 208.98 Bi.upf
B 10.81 B.upf
CELL_PARAMETERS angstrom
0.0000 3.2329 3.2329
3.2329 0.0000 3.2329
3.2329 3.2329 0.0000
ATOMIC_POSITIONS crystal
Dy 0.0000 0.0000 0.0000
Bi 0.5000 0.5000 0.5000
B 0.7500 0.7500 0.7500
```

Output
The density is 9394 kg/m³. Its crystal system is cubic. For the total magnetic moment, the calculation gives 0.00 μB per atom.

---

# 2
First-principles (PBE) data for GdSb2Pt2 after structural relaxation, as listed in OQMD. Values from VASP.

The structure in Quantum ESPRESSO input format:
```
&SYSTEM
  ibrav = 0, nat = 10, ntyp = 3
/
ATOMIC_SPECIES
Gd 157.25 Gd.upf
Sb 121.76 Sb.upf
Pt 195.08 Pt.upf
CELL_PARAMETERS angstrom
6.2794 0.0000 0.0000
0.0000 8.5893 0.0000
0.0000 0.0000 4.1411
ATOMIC_POSITIONS crystal
Gd 0.0000 0.0000 0.0000
Gd 0.5000 0.5000 0.0000
Sb 0.2096 0.3134 0.5000
Sb 0.2904 0.8134 0.5000
Sb 0.7096 0.1866 0.5000
Sb 0.7904 0.6866 0.5000
Pt 0.0821 0.6520 0.0000
Pt 0.4179 0.1520 0.0000
Pt 0.5821 0.8480 0.0000
Pt 0.9179 0.3480 0.0000
```

Output
The density is 11761 kg/m³. Its crystal system is orthorhombic. For the total magnetic moment, the calculation gives 0.00 μB per atom.

---

# 3
First-principles (PBE) data for Ag2HgIr after structural relaxation, as listed in OQMD. Values from VASP.

The structure in Quantum ESPRESSO input format:
```
&SYSTEM
  ibrav = 0, nat = 4, ntyp = 3
/
ATOMIC_SPECIES
Ag 107.87 Ag.upf
Hg 200.59 Hg.upf
Ir 192.22 Ir.upf
CELL_PARAMETERS angstrom
0.0000 3.2704 3.2704
3.2704 0.0000 3.2704
3.2704 3.2704 0.0000
ATOMIC_POSITIONS crystal
Ag 0.0000 0.0000 0.0000
Ag 0.2500 0.2500 0.2500
Hg 0.5000 0.5000 0.5000
Ir 0.7500 0.7500 0.7500
```

Output
The density is 14445 kg/m³. The formation energy from the elements comes out at 376 meV/atom. Its crystal system is cubic. For the total magnetic moment, the calculation gives 0.00 μB per atom.

---

# 4
First-principles (PBE) data for SrNdNi2Sn4 after structural relaxation, as listed in OQMD. Values from VASP.

The structure in Quantum ESPRESSO input format:
```
&SYSTEM
  ibrav = 0, nat = 8, ntyp = 4
/
ATOMIC_SPECIES
Sr 87.62 Sr.upf
Nd 144.24 Nd.upf
Ni 58.69 Ni.upf
Sn 118.71 Sn.upf
CELL_PARAMETERS angstrom
4.5551 0.0000 0.0000
0.0000 2.2561 9.2827
0.0000 -2.2561 9.2827
ATOMIC_POSITIONS crystal
Sr 0.0000 0.0000 0.0000
Nd 0.5000 0.2194 0.2194
Ni 0.0000 0.7882 0.7882
Ni 0.5000 0.4254 0.4254
Sn 0.0000 0.3576 0.3576
Sn 0.0000 0.6558 0.6558
Sn 0.5000 0.5622 0.5622
Sn 0.5000 0.8556 0.8556
```

Output
The density is 7172 kg/m³. Its crystal system is orthorhombic. For the total magnetic moment, the calculation gives 0.00 μB per atom.

---

# 5
First-principles (PBE) data for PrGdH2Cl4 after structural relaxation, as listed in OQMD. Values from VASP.

The structure in Quantum ESPRESSO input format:
```
&SYSTEM
  ibrav = 0, nat = 8, ntyp = 4
/
ATOMIC_SPECIES
Pr 140.91 Pr.upf
Gd 157.25 Gd.upf
H 1.01 H.upf
Cl 35.45 Cl.upf
CELL_PARAMETERS angstrom
3.8764 0.0000 0.0000
-1.9382 3.3570 0.0000
0.0000 0.0000 13.3180
ATOMIC_POSITIONS crystal
Pr 0.0000 0.0000 0.0000
Gd 0.0000 0.0000 0.5000
H 0.3333 0.6667 0.0000
H 0.6667 0.3333 0.5000
Cl 0.3333 0.6667 0.3702
Cl 0.3333 0.6667 0.6298
Cl 0.6667 0.3333 0.1363
Cl 0.6667 0.3333 0.8637
```

Output
The density is 4235 kg/m³. Its crystal system is hexagonal. For the total magnetic moment, the calculation gives 0.00 μB per atom.

---

# 6
First-principles (PBE) data for YAgSO after structural relaxation, as listed in OQMD. Values from VASP.

The structure in Quantum ESPRESSO input format:
```
&SYSTEM
  ibrav = 0, nat = 16, ntyp = 4
/
ATOMIC_SPECIES
Y 88.91 Y.upf
Ag 107.87 Ag.upf
S 32.06 S.upf
O 16.00 O.upf
CELL_PARAMETERS angstrom
5.6599 0.0000 0.0000
0.0000 5.6602 0.0000
-0.3166 0.0000 10.8024
ATOMIC_POSITIONS crystal
Y 0.0039 0.0000 0.0984
Y 0.4949 0.0008 0.9005
Y 0.5051 0.5008 0.0995
Y 0.9961 0.5000 0.9016
Ag 0.1891 0.2723 0.4971
Ag 0.4994 0.0178 0.2971
Ag 0.5006 0.5178 0.7029
Ag 0.8109 0.7723 0.5029
S 0.2021 0.3082 0.2795
S 0.2058 0.2271 0.7149
S 0.7942 0.7271 0.2851
S 0.7979 0.8082 0.7205
O 0.2497 0.7496 0.0002
O 0.2526 0.2488 0.9995
O 0.7474 0.7488 0.0005
O 0.7503 0.2496 0.9998
```

Output
The density is 4699 kg/m³. Its crystal system is monoclinic. For the total magnetic moment, the calculation gives 0.00 μB per atom.

---

# 7
First-principles (PBE) data for RbRe3Ge5 after structural relaxation, as listed in OQMD. Values from VASP.

The structure in Quantum ESPRESSO input format:
```
&SYSTEM
  ibrav = 0, nat = 9, ntyp = 3
/
ATOMIC_SPECIES
Rb 85.47 Rb.upf
Re 186.21 Re.upf
Ge 72.64 Ge.upf
CELL_PARAMETERS angstrom
5.2612 0.0000 0.0000
-2.6306 4.5564 0.0000
0.0000 0.0000 8.6905
ATOMIC_POSITIONS crystal
Rb 0.0000 0.0000 0.0000
Re 0.0000 0.5000 0.5000
Re 0.5000 0.0000 0.5000
Re 0.5000 0.5000 0.5000
Ge 0.0000 0.0000 0.5000
Ge 0.3333 0.6667 0.2445
Ge 0.3333 0.6667 0.7555
Ge 0.6667 0.3333 0.2445
Ge 0.6667 0.3333 0.7555
```

Output
The density is 8029 kg/m³. Its crystal system is hexagonal. For the total magnetic moment, the calculation gives 0.00 μB per atom.

---

# 8
First-principles (PBE) data for PaGaTe after structural relaxation, as listed in OQMD. Values from VASP.

The structure in Quantum ESPRESSO input format:
```
&SYSTEM
  ibrav = 0, nat = 3, ntyp = 3
/
ATOMIC_SPECIES
Pa 231.04 Pa.upf
Ga 69.72 Ga.upf
Te 127.60 Te.upf
CELL_PARAMETERS angstrom
0.0000 3.5195 3.5195
3.5195 0.0000 3.5195
3.5195 3.5195 0.0000
ATOMIC_POSITIONS crystal
Pa 0.0000 0.0000 0.0000
Ga 0.5000 0.5000 0.5000
Te 0.7500 0.7500 0.7500
```

Output
The density is 8158 kg/m³. Its crystal system is cubic. For the energy relative to the lowest polymorph listed for this composition, the calculation gives 0.48 eV/f.u. For the total magnetic moment, the calculation gives 0.61 μB per atom.

---

# 9
First-principles (PBE) data for Re2BOs after structural relaxation, as listed in OQMD. Values from VASP.

The structure in Quantum ESPRESSO input format:
```
&SYSTEM
  ibrav = 0, nat = 4, ntyp = 3
/
ATOMIC_SPECIES
Re 186.21 Re.upf
B 10.81 B.upf
Os 190.23 Os.upf
CELL_PARAMETERS angstrom
0.0000 2.9775 2.9775
2.9775 0.0000 2.9775
2.9775 2.9775 0.0000
ATOMIC_POSITIONS crystal
Re 0.0000 0.0000 0.0000
Re 0.2500 0.2500 0.2500
B 0.5000 0.5000 0.5000
Os 0.7500 0.7500 0.7500
```

Output
The density is 18038 kg/m³. Its crystal system is cubic. For the total magnetic moment, the calculation gives 0.00 μB per atom.

---

# 10
First-principles (PBE) data for NdInSiPt2 after structural relaxation, as listed in OQMD. Values from VASP.

The structure in Quantum ESPRESSO input format:
```
&SYSTEM
  ibrav = 0, nat = 10, ntyp = 4
/
ATOMIC_SPECIES
Nd 144.24 Nd.upf
In 114.82 In.upf
Si 28.09 Si.upf
Pt 195.08 Pt.upf
CELL_PARAMETERS angstrom
4.3066 0.0000 0.0000
0.0000 4.3066 0.0000
0.0000 0.0000 10.8484
ATOMIC_POSITIONS crystal
Nd 0.2500 0.2500 0.2344
Nd 0.7500 0.7500 0.7656
In 0.2500 0.7500 0.5000
In 0.7500 0.2500 0.5000
Si 0.2500 0.2500 0.8842
Si 0.7500 0.7500 0.1158
Pt 0.2500 0.2500 0.6679
Pt 0.2500 0.7500 0.0000
Pt 0.7500 0.2500 0.0000
Pt 0.7500 0.7500 0.3321
```

Output
The density is 11180 kg/m³. Its crystal system is tetragonal. For the total magnetic moment, the calculation gives 0.00 μB per atom.

---

# 11
First-principles (PBE) data for NaCuPdSe3 after structural relaxation, as listed in OQMD. Values from VASP.

The structure in Quantum ESPRESSO input format:
```
&SYSTEM
  ibrav = 0, nat = 24, ntyp = 4
/
ATOMIC_SPECIES
Na 22.99 Na.upf
Cu 63.55 Cu.upf
Pd 106.42 Pd.upf
Se 78.96 Se.upf
CELL_PARAMETERS angstrom
12.6843 0.0000 0.0000
0.0000 3.8742 0.0000
0.0000 0.0000 10.2806
ATOMIC_POSITIONS crystal
Na 0.2194 0.2500 0.0481
Na 0.2806 0.7500 0.5481
Na 0.7194 0.2500 0.4519
Na 0.7806 0.7500 0.9519
Cu 0.0116 0.7500 0.0832
Cu 0.4884 0.2500 0.5832
Cu 0.5116 0.7500 0.4168
Cu 0.9884 0.2500 0.9168
Pd 0.0125 0.2500 0.3410
Pd 0.4875 0.7500 0.8410
Pd 0.5125 0.2500 0.1590
Pd 0.9875 0.7500 0.6590
Se 0.0961 0.2500 0.5641
Se 0.1011 0.7500 0.8669
Se 0.1337 0.7500 0.2687
Se 0.3663 0.2500 0.7687
Se 0.3989 0.2500 0.3669
Se 0.4039 0.7500 0.0641
Se 0.5961 0.2500 0.9359
Se 0.6011 0.7500 0.6331
Se 0.6337 0.7500 0.2313
Se 0.8663 0.2500 0.7313
Se 0.8989 0.2500 0.1331
Se 0.9039 0.7500 0.4359
```

Output
The density is 5651 kg/m³. Its crystal system is orthorhombic. For the energy relative to the lowest polymorph listed for this composition, the calculation gives 0.00 eV/f.u.

---

# 12
First-principles (PBE) data for NaTmAg after structural relaxation, as listed in OQMD. Values from VASP.

The structure in Quantum ESPRESSO input format:
```
&SYSTEM
  ibrav = 0, nat = 3, ntyp = 3
/
ATOMIC_SPECIES
Na 22.99 Na.upf
Tm 168.93 Tm.upf
Ag 107.87 Ag.upf
CELL_PARAMETERS angstrom
0.0000 3.4770 3.4770
3.4770 0.0000 3.4770
3.4770 3.4770 0.0000
ATOMIC_POSITIONS crystal
Na 0.0000 0.0000 0.0000
Tm 0.7500 0.7500 0.7500
Ag 0.5000 0.5000 0.5000
```

Output
The density is 5922 kg/m³. Its crystal system is cubic. For the energy relative to the lowest polymorph listed for this composition, the calculation gives 1.01 eV/f.u. For the total magnetic moment, the calculation gives 0.00 μB per atom.

---

So what do the calculations give for DFT total energy? Going down the list: -4.767 -5.610 -3.325 -4.744 -4.708 -6.503 -6.633 -5.122 -9.977 -5.980 -3.865 -2.377 eV per atom.